Computed, not measured: Ca4Cd3Hg after structural relaxation at the PBE level of DFT.

DOS(E_F) = 7.95 states/eV/f.u.
Total magnetic moment = 0.00 μB per formula unit
Formation energy from the elements = -0.400 eV per atom
Volume = 223.1 Å³/cell

a = 3.816 Å, b = 3.816 Å, c = 15.324 Å
α = 90.00°, β = 90.00°, γ = 90.00°
Space group P4/mmm (No. 123)
Unique sites:
Ca1 0.000 0.000 0.121 [2 per cell]
Ca2 0.000 0.000 0.374 [2 per cell]
Cd1 0.500 0.500 0.249 [2 per cell]
Cd2 0.500 0.500 0.500 [1 per cell]
Hg1 0.500 0.500 0.000 [1 per cell]